The following is a GGA-PBE calculation of an optimized crystal structure of Y2AgW, from the Alexandria database.

POSCAR file:
```
Y2AgW
1.0
6.377 0.000 0.006
3.451 5.363 -0.006
-4.256 -3.888 2.728
Ag W Y
1 1 2
Cartesian
4.640 2.531 0.000
2.225 2.171 1.361
0.298 0.162 0.000
3.324 -0.709 1.367
```

The energy of formation from the pure elements comes out at 0.34 eV per atom. The space group is Imm2 (44).